This record from OQMD describes a relaxed Ga2HgSe3S crystal. The functional is PBE.

Values from the calculation:
VASP energy   -24.546 eV/cell

Unit cell a=5.7803 b=5.8321 c=6.7713 alpha=115.45 beta=114.20 gamma=90.80
Last column: nearest neighbours and their distance in Å.
Fractional positions:
Ga (0.0000, 0.0000, 0.0000)  1 S 2.32, 3 Se 2.45-2.46
Ga (0.2424, 0.7554, 0.5094)  1 S 2.32, 3 Se 2.45
Hg (0.7485, 0.2608, 0.5057)  1 S 2.62, 3 Se 2.69-2.70
Se (0.3485, 0.3948, 0.2262)  2 Ga 2.45, 1 Hg 2.70
Se (0.6134, 0.1339, 0.7894)  2 Ga 2.45-2.46, 1 Hg 2.70
Se (0.8675, 0.8377, 0.2261)  2 Ga 2.45, 1 Hg 2.69
S (0.1442, 0.6655, 0.7721)  2 Ga 2.32

This record from OQMD describes a relaxed Ga2HgSeS3 crystal. The functional is PBE.

Values from the calculation:
VASP energy   -25.954 eV/cell

Unit cell a=5.6532 b=5.7240 c=6.5503 alpha=114.69 beta=114.68 gamma=90.89
Last column: nearest neighbours and their distance in Å.
Fractional positions:
Ga (0.0000, 0.0000, 0.0000)  3 S 2.31, 1 Se 2.44
Ga (0.2552, 0.7648, 0.5085)  3 S 2.31-2.32, 1 Se 2.44
Hg (0.7586, 0.2570, 0.5051)  3 S 2.59-2.60, 1 Se 2.67
Se (0.3550, 0.3964, 0.2175)  2 Ga 2.44, 1 Hg 2.67
S (0.1577, 0.6684, 0.7777)  2 Ga 2.31
S (0.6242, 0.1170, 0.7778)  2 Ga 2.31
S (0.8933, 0.8552, 0.2381)  2 Ga 2.31-2.32

This record from OQMD describes a relaxed Ga2HgTe2S2 crystal. The functional is PBE.

Values from the calculation:
VASP energy   -23.705 eV/cell

Unit cell a=6.8947 b=6.8947 c=5.8942 alpha=113.65 beta=113.65 gamma=106.44
Last column: nearest neighbours and their distance in Å.
Fractional positions:
Ga (0.0000, 0.0000, 0.0000)  2 S 2.33
Ga (0.7763, 0.2237, 0.5000)  2 S 2.33
Hg (0.5123, 0.4877, 0.0000)  2 S 2.70, 2 Te 2.82
Te (0.3640, 0.0573, 0.4678)  2 Ga 2.64-2.66, 1 Hg 2.82
Te (0.9427, 0.6360, 0.5322)  2 Ga 2.64-2.66, 1 Hg 2.82
S (0.0897, 0.3352, 0.9672)  2 Ga 2.33
S (0.6648, 0.9103, 0.0328)  2 Ga 2.33

This record from OQMD describes a relaxed Ga2HgTeS3 crystal. The functional is PBE.

Values from the calculation:
VASP energy   -25.164 eV/cell

Unit cell a=5.7171 b=5.8940 c=6.5676 alpha=113.21 beta=113.38 gamma=92.43
Last column: nearest neighbours and their distance in Å.
Fractional positions:
Ga (0.0000, 0.0000, 0.0000)  3 S 2.31-2.33
Ga (0.2614, 0.7843, 0.5201)  3 S 2.31-2.33
Hg (0.4979, 0.5165, 0.0103)  3 S 2.62-2.66, 1 Te 2.78
Te (0.8900, 0.3687, 0.3136)  2 Ga 2.64-2.65, 1 Hg 2.78
S (0.1071, 0.1030, 0.7378)  2 Ga 2.31-2.32
S (0.3526, 0.9044, 0.2588)  2 Ga 2.31-2.32
S (0.6278, 0.6680, 0.7366)  2 Ga 2.33

This record from OQMD describes a relaxed Ga2HgTe3S crystal. The functional is PBE.

Values from the calculation:
VASP energy   -22.337 eV/cell

Unit cell a=6.0909 b=6.1784 c=7.1503 alpha=115.29 beta=112.69 gamma=92.05
Last column: nearest neighbours and their distance in Å.
Fractional positions:
Ga (0.0000, 0.0000, 0.0000)  1 S 2.33
Ga (0.2277, 0.7643, 0.5272)  1 S 2.33
Hg (0.4851, 0.4859, 0.0127)  1 S 2.69, 3 Te 2.85-2.87
Te (0.3774, 0.9181, 0.2904)  2 Ga 2.67, 1 Hg 2.85
Te (0.6165, 0.6112, 0.7211)  2 Ga 2.67-2.68, 1 Hg 2.87
Te (0.8734, 0.3513, 0.2902)  2 Ga 2.67, 1 Hg 2.86
S (0.1052, 0.0870, 0.7542)  2 Ga 2.33

This record from OQMD describes a relaxed Ga2HgTe2S2 crystal. The functional is PBE.

Values from the calculation:
VASP energy   -23.694 eV/cell

Unit cell a=5.9070 b=6.0486 c=6.8473 alpha=113.26 beta=114.34 gamma=90.47
Last column: nearest neighbours and their distance in Å.
Fractional positions:
Ga (0.0000, 0.0000, 0.0000)  2 S 2.32-2.33
Ga (0.2153, 0.7779, 0.4955)  2 S 2.33
Hg (0.4925, 0.5268, 0.9864)  2 S 2.65-2.67, 2 Te 2.82-2.83
Te (0.3825, 0.3883, 0.2902)  2 Ga 2.66, 1 Hg 2.82
Te (0.6305, 0.1223, 0.7017)  2 Ga 2.65-2.66, 1 Hg 2.83
S (0.1018, 0.6779, 0.7424)  2 Ga 2.33
S (0.8913, 0.9009, 0.2494)  2 Ga 2.32-2.33